A plane-wave DFT calculation with PBE+U was carried out for a relaxed structure of VCuGeO2.

Cell: 3.840 3.840 4.641 Å, 90.00 90.00 90.00°
Atoms (fractional coordinates):
V 0.000 0.000 0.000
Cu 0.500 0.500 0.500
Ge 0.500 0.500 0.000
O 0.000 0.500 0.500
O 0.500 0.000 0.500

## Properties
The crystal system is tetragonal. As for the excess energy over the best structure of this formula in the dataset: 0.346 eV/atom.